Record 1
Entry from Alexandria: a relaxed K3TaFe crystal (GGA-PBEsol).

Values from the calculation:
As for the symmetry: Pm-3m, No. 221. As for the total magnetization: 8.6 μB/cell. As for the formation enthalpy at 0 K: 2.236 eV/atom.

The structure in POSCAR format:
```
K3TaFe
1.0
6.5305 0.0000 0.0000
0.0000 6.5305 0.0000
0.0000 0.0000 6.5305
K Ta Fe
3 1 1
Direct
0.5000 0.0000 0.0000 K
0.0000 0.5000 0.0000 K
0.0000 0.0000 0.5000 K
0.0000 0.0000 0.0000 Ta
0.5000 0.5000 0.5000 Fe
```

=====

Record 2
Entry from Alexandria: a relaxed KTa2Fe crystal (GGA-PBEsol).

Values from the calculation:
As for the symmetry: I4/mmm, No. 139. As for the total magnetization: 2.1 μB/cell. The excess energy over the best structure of this formula in the dataset is 0.000 eV/atom. As for the formation enthalpy at 0 K: 1.606 eV/atom.

The structure in POSCAR format:
```
KTa2Fe
1.0
3.9201 0.0000 0.0000
0.0000 3.9201 0.0000
-1.9600 -1.9600 4.8978
Fe K Ta
1 1 2
Direct
0.5000 0.5000 0.0000 Fe
0.0000 0.0000 0.0000 K
0.7500 0.2500 0.5000 Ta
0.2500 0.7500 0.5000 Ta
```

=====

Record 3
Entry from Alexandria: a relaxed KFe2Tc crystal (GGA-PBEsol).

Values from the calculation:
As for the symmetry: Immm, No. 71. As for the total magnetization: 6.4 μB/cell. The excess energy over the best structure of this formula in the dataset is 0.629 eV/atom. As for the formation enthalpy at 0 K: 1.394 eV/atom.

The structure in POSCAR format:
```
KFe2Tc
1.0
-0.8107 -2.3159 0.9910
3.8678 -3.7755 -2.1257
4.6732 -1.9227 2.8630
Fe K Tc
2 1 1
Direct
0.7094 0.2906 0.2906 Fe
0.2906 0.7094 0.7094 Fe
0.5000 0.0000 0.0000 K
0.0000 0.5000 0.5000 Tc
```

=====

Record 4
Entry from Alexandria: a relaxed KFe2Tc crystal (GGA-PBEsol).

Values from the calculation:
As for the symmetry: C2/m, No. 12. As for the total magnetization: 4.3 μB/cell. The excess energy over the best structure of this formula in the dataset is 0.116 eV/atom. As for the formation enthalpy at 0 K: 0.881 eV/atom.

The structure in POSCAR format:
```
KFe2Tc
1.0
-2.0948 1.3891 -0.8434
-1.5213 -3.5989 2.0182
0.0177 3.5696 5.8355
Fe Tc K
2 1 1
Direct
0.2410 0.4819 0.1352 Fe
0.7590 0.5181 0.8648 Fe
0.5000 0.0000 0.0000 Tc
0.0000 0.0000 0.5000 K
```